#P
The following is a PBE calculation of an optimized crystal structure of Ta2TlAs, from Alexandria via LeMat-Bulk.

Density = 11.84 g/cm3
Magnetization = 0.0 Bohr magnetons per cell
SG = No. 35

Cell: 2.954 2.954 10.798 Å, 90.00 90.00 107.26°
Atoms (fractional coordinates):
Ta 0.000 0.000 0.000
Ta 0.500 0.500 0.204
Tl 0.000 0.000 0.459
As 0.500 0.500 0.816

#Q
The following is a PBE calculation of an optimized crystal structure of Ta2TlAs, from Alexandria via LeMat-Bulk.

Density = 13.95 g/cm3
Magnetization = 0.0 Bohr magnetons per cell
SG = No. 71

Cell: 5.400 5.400 5.400 Å, 143.44 124.29 68.49°
Atoms (fractional coordinates):
Ta 0.227 0.227 0.000
Ta 0.773 0.773 0.000
Tl 0.500 0.000 0.500
As 0.000 0.500 0.500

Going by the energies, #P is most stable and the next is 17.1 kJ/mol of atoms up.

#P
The following is a PBE calculation of an optimized crystal structure of Ta2TlAs, from Alexandria via LeMat-Bulk.

Density = 13.87 g/cm3
Magnetization = 0.0 Bohr magnetons per cell
SG = No. 44

Cell: 5.657 5.657 5.657 Å, 145.54 130.81 61.44°
Atoms (fractional coordinates):
Ta 0.000 0.000 0.000
Ta 0.751 0.251 0.500
Tl 0.476 0.476 0.000
As 0.207 0.707 0.500

#Q
The following is a PBE calculation of an optimized crystal structure of Ta2TlAs, from Alexandria via LeMat-Bulk.

Density = 13.79 g/cm3
Magnetization = 0.0 Bohr magnetons per cell
SG = No. 65

Cell: 3.089 3.089 8.767 Å, 90.00 90.00 112.60°
Atoms (fractional coordinates):
Ta 0.000 0.000 0.220
Ta 0.000 0.000 0.780
Tl 0.500 0.500 0.500
As 0.500 0.500 0.000

#R
The following is a PBE calculation of an optimized crystal structure of Ta2TlAs, from Alexandria via LeMat-Bulk.

Density = 13.73 g/cm3
Magnetization = 0.0 Bohr magnetons per cell
SG = No. 8

Cell: 5.422 5.422 4.699 Å, 100.99 100.99 34.95°
Atoms (fractional coordinates):
Ta 0.000 0.000 0.000
Ta 0.188 0.188 0.596
Tl 0.743 0.743 0.122
As 0.482 0.482 0.511

#S
The following is a PBE calculation of an optimized crystal structure of Ta2TlAs, from Alexandria via LeMat-Bulk.

Density = 13.98 g/cm3
Magnetization = 0.0 Bohr magnetons per cell
SG = No. 119

Cell: 5.422 5.422 5.422 Å, 135.88 135.88 64.16°
Atoms (fractional coordinates):
Ta 0.000 0.000 0.000
Ta 0.750 0.250 0.500
Tl 0.250 0.750 0.500
As 0.500 0.500 0.000

Going by the energies, #Q is most stable and the next is 4.2 kJ/mol of atoms up.

#P
The following is a PBE calculation of an optimized crystal structure of Ta2TlAs, from Alexandria via LeMat-Bulk.

Density = 14.38 g/cm3
Magnetization = 0.0 Bohr magnetons per cell
SG = No. 225

Cell: 4.714 4.714 4.714 Å, 60.00 60.00 60.00°
Atoms (fractional coordinates):
Ta 0.250 0.250 0.250
Ta 0.750 0.750 0.750
Tl 0.000 0.000 0.000
As 0.500 0.500 0.500

#Q
The following is a PBE calculation of an optimized crystal structure of Ta2TlAs, from Alexandria via LeMat-Bulk.

Density = 12.62 g/cm3
Magnetization = 0.0 Bohr magnetons per cell
SG = No. 160

Cell: 9.286 9.286 9.286 Å, 20.30 20.30 20.30°
Atoms (fractional coordinates):
Ta 0.000 0.000 0.000
Ta 0.259 0.259 0.259
Tl 0.499 0.499 0.499
As 0.735 0.735 0.735

#R
The following is a PBE calculation of an optimized crystal structure of Ta2TlAs, from Alexandria via LeMat-Bulk.

Density = 12.64 g/cm3
Magnetization = 0.0 Bohr magnetons per cell
SG = No. 25

Cell: 3.396 3.419 7.253 Å, 90.00 90.00 90.00°
Atoms (fractional coordinates):
Ta 0.000 0.000 0.000
Ta 0.500 0.500 0.219
Tl 0.000 0.000 0.477
As 0.500 0.500 0.839

#S
The following is a PBE calculation of an optimized crystal structure of Ta2TlAs, from Alexandria via LeMat-Bulk.

Density = 14.15 g/cm3
Magnetization = 0.0 Bohr magnetons per cell
SG = No. 123

Cell: 3.184 3.184 7.424 Å, 90.00 90.00 90.00°
Atoms (fractional coordinates):
Ta 0.000 0.000 0.203
Ta 0.000 0.000 0.797
Tl 0.500 0.500 0.500
As 0.500 0.500 0.000

Going by the energies, #R is most stable and the next is 3.4 kJ/mol of atoms up.

#P
The following is a PBE calculation of an optimized crystal structure of TaTl3As, from Alexandria via LeMat-Bulk.

Density = 9.07 g/cm3
Magnetization = 3.2 Bohr magnetons per cell
SG = No. 221

Cell: 5.419 5.419 5.419 Å, 90.00 90.00 90.00°
Atoms (fractional coordinates):
Ta 0.000 0.000 0.000
Tl 0.000 0.500 0.500
Tl 0.500 0.000 0.500
Tl 0.500 0.500 0.000
As 0.500 0.500 0.500

#Q
The following is a PBE calculation of an optimized crystal structure of TaTl3As, from Alexandria via LeMat-Bulk.

Density = 8.71 g/cm3
Magnetization = 0.0 Bohr magnetons per cell
SG = No. 221

Cell: 5.493 5.493 5.493 Å, 90.00 90.00 90.00°
Atoms (fractional coordinates):
Ta 0.000 0.000 0.000
Tl 0.000 0.000 0.500
Tl 0.000 0.500 0.000
Tl 0.500 0.000 0.000
As 0.500 0.500 0.500

Going by the energies, #Q is most stable and the next is 30.9 kJ/mol of atoms up.

#P
The following is a PBE calculation of an optimized crystal structure of TaTlAs3, from Alexandria via LeMat-Bulk.

Density = 7.64 g/cm3
Magnetization = 0.0 Bohr magnetons per cell
SG = No. 221

Cell: 5.100 5.100 5.100 Å, 90.00 90.00 90.00°
Atoms (fractional coordinates):
Ta 0.000 0.000 0.000
Tl 0.500 0.500 0.500
As 0.000 0.500 0.500
As 0.500 0.000 0.500
As 0.500 0.500 0.000

#Q
The following is a PBE calculation of an optimized crystal structure of TaTlAs3, from Alexandria via LeMat-Bulk.

Density = 7.79 g/cm3
Magnetization = 0.0 Bohr magnetons per cell
SG = No. 221

Cell: 5.067 5.067 5.067 Å, 90.00 90.00 90.00°
Atoms (fractional coordinates):
Ta 0.000 0.000 0.000
Tl 0.500 0.500 0.500
As 0.000 0.000 0.500
As 0.000 0.500 0.000
As 0.500 0.000 0.000

Going by the energies, #Q is most stable and the next is 160.3 kJ/mol of atoms up.

#P
The following is a PBE calculation of an optimized crystal structure of TaV3As, from Alexandria via LeMat-Bulk.

Density = 6.86 g/cm3
Magnetization = 0.0 Bohr magnetons per cell
SG = No. 221

Cell: 4.624 4.624 4.624 Å, 90.00 90.00 90.00°
Atoms (fractional coordinates):
Ta 0.000 0.000 0.000
V 0.000 0.000 0.500
V 0.000 0.500 0.000
V 0.500 0.000 0.000
As 0.500 0.500 0.500

#Q
The following is a PBE calculation of an optimized crystal structure of TaV3As, from Alexandria via LeMat-Bulk.

Density = 7.77 g/cm3
Magnetization = 0.0 Bohr magnetons per cell
SG = No. 221

Cell: 4.437 4.437 4.437 Å, 90.00 90.00 90.00°
Atoms (fractional coordinates):
Ta 0.000 0.000 0.000
V 0.000 0.500 0.500
V 0.500 0.000 0.500
V 0.500 0.500 0.000
As 0.500 0.500 0.500

Going by the energies, #Q is most stable and the next is 75.0 kJ/mol of atoms up.

#P
The following is a PBE calculation of an optimized crystal structure of Ta2V2As, from Alexandria via LeMat-Bulk.

Density = 9.71 g/cm3
Magnetization = 0.0 Bohr magnetons per cell
SG = No. 127

Cell: 6.720 6.720 4.081 Å, 90.00 90.00 90.00°
Atoms (fractional coordinates):
Ta 0.160 0.340 0.000
Ta 0.340 0.840 0.000
Ta 0.660 0.160 0.000
Ta 0.840 0.660 0.000
V 0.110 0.610 0.500
V 0.390 0.110 0.500
V 0.610 0.890 0.500
V 0.890 0.390 0.500
As 0.000 0.000 0.000
As 0.500 0.500 0.000

#Q
The following is a PBE calculation of an optimized crystal structure of Ta2V2As, from Alexandria via LeMat-Bulk.

Density = 10.68 g/cm3
Magnetization = 0.0 Bohr magnetons per cell
SG = No. 139

Cell: 8.071 8.071 8.071 Å, 156.46 156.46 33.53°
Atoms (fractional coordinates):
Ta 0.097 0.097 0.000
Ta 0.903 0.903 0.000
V 0.250 0.750 0.500
V 0.750 0.250 0.500
As 0.500 0.500 0.000

Going by the energies, #P is most stable and the next is 0.6 kJ/mol of atoms up.

#P
The following is a PBE calculation of an optimized crystal structure of TaVAs2, from Alexandria via LeMat-Bulk.

Density = 6.63 g/cm3
Magnetization = 5.3 Bohr magnetons per cell
SG = No. 122

Cell: 7.013 7.013 7.013 Å, 131.17 131.17 71.54°
Atoms (fractional coordinates):
Ta 0.000 0.000 0.000
Ta 0.750 0.250 0.500
V 0.250 0.750 0.500
V 0.500 0.500 0.000
As 0.130 0.625 0.005
As 0.375 0.380 0.505
As 0.620 0.125 0.995
As 0.875 0.870 0.495

#Q
The following is a PBE calculation of an optimized crystal structure of TaVAs2, from Alexandria via LeMat-Bulk.

Density = 9.01 g/cm3
Magnetization = 1.9 Bohr magnetons per cell
SG = No. 166

Cell: 6.188 6.188 6.188 Å, 35.21 35.21 35.21°
Atoms (fractional coordinates):
Ta 0.000 0.000 0.000
V 0.500 0.500 0.500
As 0.245 0.245 0.245
As 0.755 0.755 0.755

#R
The following is a PBE calculation of an optimized crystal structure of TaVAs2, from Alexandria via LeMat-Bulk.

Density = 10.10 g/cm3
Magnetization = 0.0 Bohr magnetons per cell
SG = No. 225

Cell: 4.461 4.461 4.461 Å, 60.00 60.00 60.00°
Atoms (fractional coordinates):
Ta 0.000 0.000 0.000
V 0.500 0.500 0.500
As 0.250 0.250 0.250
As 0.750 0.750 0.750

Going by the energies, #R is most stable and the next is 6.3 kJ/mol of atoms up.

#P
The following is a PBE calculation of an optimized crystal structure of Ta3VAs, from Alexandria via LeMat-Bulk.

Density = 10.98 g/cm3
Magnetization = 0.0 Bohr magnetons per cell
SG = No. 221

Cell: 4.658 4.658 4.658 Å, 90.00 90.00 90.00°
Atoms (fractional coordinates):
Ta 0.000 0.000 0.500
Ta 0.000 0.500 0.000
Ta 0.500 0.000 0.000
V 0.000 0.000 0.000
As 0.500 0.500 0.500

#Q
The following is a PBE calculation of an optimized crystal structure of Ta3VAs, from Alexandria via LeMat-Bulk.

Density = 10.61 g/cm3
Magnetization = 1.6 Bohr magnetons per cell
SG = No. 221

Cell: 4.713 4.713 4.713 Å, 90.00 90.00 90.00°
Atoms (fractional coordinates):
Ta 0.000 0.000 0.500
Ta 0.000 0.500 0.000
Ta 0.500 0.000 0.000
V 0.500 0.500 0.500
As 0.000 0.000 0.000

Going by the energies, #Q is most stable and the next is 10.6 kJ/mol of atoms up.

#P
The following is a PBE calculation of an optimized crystal structure of TaAsW3, from Alexandria via LeMat-Bulk.

Density = 14.07 g/cm3
Magnetization = 0.0 Bohr magnetons per cell
SG = No. 221

Cell: 4.568 4.568 4.568 Å, 90.00 90.00 90.00°
Atoms (fractional coordinates):
Ta 0.000 0.000 0.000
As 0.500 0.500 0.500
W 0.000 0.500 0.500
W 0.500 0.000 0.500
W 0.500 0.500 0.000

#Q
The following is a PBE calculation of an optimized crystal structure of TaAsW3, from Alexandria via LeMat-Bulk.

Density = 12.01 g/cm3
Magnetization = 0.0 Bohr magnetons per cell
SG = No. 221

Cell: 4.815 4.815 4.815 Å, 90.00 90.00 90.00°
Atoms (fractional coordinates):
Ta 0.000 0.000 0.000
As 0.500 0.500 0.500
W 0.000 0.000 0.500
W 0.000 0.500 0.000
W 0.500 0.000 0.000

Going by the energies, #P is most stable and the next is 91.9 kJ/mol of atoms up.

#P
The following is a PBE calculation of an optimized crystal structure of TaAsW, from Alexandria via LeMat-Bulk.

Density = 14.12 g/cm3
Magnetization = 0.0 Bohr magnetons per cell
SG = No. 38

Cell: 3.223 5.098 5.098 Å, 38.12 90.00 90.00°
Atoms (fractional coordinates):
Ta 0.000 0.000 0.000
As 0.000 0.294 0.294
W 0.500 0.675 0.675

#Q
The following is a PBE calculation of an optimized crystal structure of TaAsW, from Alexandria via LeMat-Bulk.

Density = 14.64 g/cm3
Magnetization = 0.0 Bohr magnetons per cell
SG = No. 107

Cell: 5.844 5.844 5.844 Å, 149.96 149.96 43.00°
Atoms (fractional coordinates):
Ta 0.000 0.000 0.000
As 0.335 0.335 0.000
W 0.700 0.700 0.000

Going by the energies, #P is most stable and the next is 23.5 kJ/mol of atoms up.

#P
The following is a PBE calculation of an optimized crystal structure of TaAsW, from Alexandria via LeMat-Bulk.

Density = 14.53 g/cm3
Magnetization = 0.0 Bohr magnetons per cell
SG = No. 156

Cell: 4.528 4.528 2.830 Å, 90.00 90.00 120.00°
Atoms (fractional coordinates):
Ta 0.000 0.000 0.000
As 0.333 0.667 0.560
W 0.667 0.333 0.545

#Q
The following is a PBE calculation of an optimized crystal structure of TaAsW, from Alexandria via LeMat-Bulk.

Density = 14.46 g/cm3
Magnetization = 0.0 Bohr magnetons per cell
SG = No. 42

Cell: 6.630 6.405 2.948 Å, 81.25 72.68 26.07°
Atoms (fractional coordinates):
Ta 0.000 0.000 0.000
As 0.664 0.664 0.336
W 0.325 0.325 0.675

Going by the energies, #P is most stable and the next is 3.2 kJ/mol of atoms up.